PuNpIr2: relaxed, GGA-PBE.

```
4
Lattice="0.0000 3.4207 3.4207 3.4207 0.0000 3.4207 3.4207 3.4207 0.0000" Properties=species:S:1:pos:R:3 pbc="T T T"
Pu 0.0000 0.0000 0.0000
Np 3.4207 3.4207 3.4207
Ir 1.7104 1.7104 1.7104
Ir 5.1311 5.1311 5.1311
```

Results
Space group: Fm-3m (225)
Energy above the lowest structure with this stoichiometry (eV per atom): 0.015
Mass density (Mg/m³): 18.0
Total magnetization (μB per atom): 2.052